# 1
Entry from Alexandria via LeMat-Bulk: an optimized crystal structure of HgTe2CN (PBE-GGA).

Summary:
* total magnetic moment: 0.00 μB per cell
* raw formation energy: 780 meV/atom

Unit cell a=7.0535 b=7.0535 c=2.6303 alpha=90.00 beta=90.00 gamma=90.00
Closest atoms and distances in Å follow each position.
Fractional coordinates of all 5 atoms:
1 Hg 0.0000 0.0000 0.0000  2 Hg 2.63
2 Te 0.0000 0.5000 0.5000  2 Te 2.63
3 Te 0.5000 0.0000 0.5000  2 Te 2.63
4 C 0.5000 0.5000 0.5000  2 N 1.32
5 N 0.5000 0.5000 0.0000  2 C 1.32

***

# 2
Entry from Alexandria via LeMat-Bulk: an optimized crystal structure of HgTeCN2 (PBE-GGA).

Summary:
* total magnetic moment: 2.93 μB per cell
* raw formation energy: 2421 meV/atom

Unit cell a=3.9957 b=3.9957 c=4.6976 alpha=90.00 beta=90.00 gamma=90.00
Closest atoms and distances in Å follow each position.
Fractional coordinates of all 5 atoms:
1 Hg 0.0000 0.0000 0.0000  4 Te 2.83, 8 N 3.08
2 Te 0.5000 0.5000 0.0000  2 C 2.35
3 C 0.5000 0.5000 0.5000  4 N 2.00
4 N 0.0000 0.5000 0.5000  2 C 2.00
5 N 0.5000 0.0000 0.5000  2 C 2.00

***

# 3
Entry from Alexandria via LeMat-Bulk: an optimized crystal structure of HgTeCN2 (PBE-GGA).

Summary:
* total magnetic moment: 3.33 μB per cell
* raw formation energy: 2982 meV/atom

Unit cell a=3.9690 b=3.9690 c=7.9738 alpha=90.00 beta=90.00 gamma=90.00
Closest atoms and distances in Å follow each position.
Fractional coordinates of all 5 atoms:
1 Hg 0.0000 0.0000 0.0000  4 N 1.98
2 Te 0.0000 0.0000 0.5000  4 C 2.81
3 C 0.5000 0.5000 0.5000  4 Te 2.81
4 N 0.0000 0.5000 0.0000  2 Hg 1.98
5 N 0.5000 0.0000 0.0000  2 Hg 1.98

***

> Which of these has the lowest raw formation energy?

HgTe2CN

***

> Which of these has the highest total magnetic moment?

number 3